No. 1
LiHfF2 PBE-GGA optimized geometry; size of the total moment = 2.5 μB per cell; DOS at the Fermi energy = 1.2 states/eV/f.u.; formation energy from raw total energies = -1212 meV per atom; energy above the most stable polymorph in this dataset = 1.189 eV/atom; space-group type = Fm-3m, No. 225
1.0
-0.321 -4.199 0.099
-0.291 -2.004 3.694
-3.632 -1.808 1.135
Li Hf F
1 1 2
direct
0.000 0.000 0.000
0.500 0.500 0.500
0.250 0.250 0.250
0.750 0.750 0.750



No. 2
ZnBiTe3 PBE-GGA optimized geometry; size of the total moment = 0.0 μB per cell; DOS at the Fermi energy = 8.7 states/eV/f.u.; formation energy from raw total energies = 632 meV per atom; energy above the most stable polymorph in this dataset = 0.340 eV/atom; space-group type = Pm-3m, No. 221
1.0
5.952 0.000 0.000
0.000 5.952 0.000
0.000 0.000 5.952
Zn Te Bi
1 3 1
direct
0.500 0.500 0.500
0.000 0.500 0.000
0.000 0.000 0.500
0.500 0.000 0.000
0.000 0.000 0.000



No. 3
La4Zn PBE-GGA optimized geometry; size of the total moment = 0.0 μB per cell; DOS at the Fermi energy = 5.7 states/eV/f.u.; formation enthalpy at 0 K = 283 meV per atom; energy above the most stable polymorph in this dataset = 0.406 eV/atom; space-group type = I4/mmm, No. 139
1.0
-2.125 2.125 9.714
2.125 -2.125 9.714
2.125 2.125 -9.714
La Zn
4 1
direct
0.250 0.750 0.500
0.579 0.579 0.000
0.421 0.421 0.000
0.750 0.250 0.500
0.000 0.000 0.000



No. 4
Mg2GeSb PBE-GGA optimized geometry; size of the total moment = 0.0 μB per cell; DOS at the Fermi energy = 1.0 states/eV/f.u.; formation energy from raw total energies = -103 meV per atom; energy above the most stable polymorph in this dataset = 0.006 eV/atom; space-group type = R-3m, No. 166
1.0
-0.876 -2.723 -2.127
-1.009 -3.113 1.414
-8.517 0.605 -0.252
Sb Ge Mg
1 1 2
direct
0.500 0.500 0.500
0.000 0.000 0.000
0.256 0.256 0.232
0.744 0.744 0.768



No. 5
ZnCr3Pd12 PBE-GGA optimized geometry; size of the total moment = 7.9 μB per cell; DOS at the Fermi energy = 25.4 states/eV/f.u.; formation enthalpy at 0 K = -137 meV per atom; space-group type = P4/mmm, No. 123
1.0
-1.036 -1.778 3.323
0.944 -3.459 -1.556
14.571 1.557 5.376
Zn Cr Pd
1 3 12
direct
0.000 0.000 0.000
0.000 0.000 0.250
0.000 0.000 0.500
0.000 0.000 0.750
0.500 0.500 0.000
0.500 0.500 0.250
0.500 0.500 0.500
0.500 0.500 0.750
0.500 0.000 0.126
0.500 0.000 0.375
0.500 0.000 0.625
0.500 0.000 0.874
0.000 0.500 0.126
0.000 0.500 0.375
0.000 0.500 0.625
0.000 0.500 0.874



No. 6
NpTiIr2 PBE-GGA optimized geometry; size of the total moment = 3.1 μB per cell; DOS at the Fermi energy = 5.4 states/eV/f.u.; formation enthalpy at 0 K = -570 meV per atom; energy above the most stable polymorph in this dataset = 0.000 eV/atom; space-group type = P4/mmm, No. 123
1.0
-1.708 1.897 -1.612
-2.476 -1.092 1.339
0.638 5.145 5.378
Np Ir Ti
1 2 1
direct
0.500 0.500 0.500
0.000 0.000 0.790
0.000 0.000 0.210
0.500 0.500 0.000



No. 7
PuAu3 PBE-GGA optimized geometry; size of the total moment = 5.9 μB per cell; DOS at the Fermi energy = 9.1 states/eV/f.u.; formation enthalpy at 0 K = -205 meV per atom; space-group type = Pmm2, No. 25
1.0
2.974 0.000 0.000
0.000 5.068 0.000
0.000 0.000 5.460
Au Pu
3 1
direct
0.000 0.000 0.000
0.500 0.000 0.523
0.500 0.500 0.822
0.000 0.500 0.322



No. 8
CaAl11Rh PBE-GGA optimized geometry; size of the total moment = 0.0 μB per cell; DOS at the Fermi energy = 4.5 states/eV/f.u.; formation enthalpy at 0 K = -253 meV per atom; space-group type = C2/m, No. 12
1.0
-3.337 -1.206 3.780
3.606 -3.361 5.288
-0.533 5.011 4.684
Ca Al Rh
1 11 1
direct
0.000 0.000 0.000
0.279 0.229 0.219
0.721 0.771 0.781
0.502 0.771 0.219
0.498 0.229 0.781
0.357 0.641 0.650
0.643 0.359 0.350
0.993 0.359 0.650
0.007 0.641 0.350
0.000 0.500 0.000
0.500 0.000 0.500
0.000 0.000 0.500
0.500 0.500 0.000



- What is the DOS at the Fermi energy in the seventh record?
  9.1 states/eV/f.u.